## LuGe2Ir (PBE)

Data for crystalline LuGe2Ir at its relaxed geometry.

## Properties
For the energy, the calculation gives -6.02 eV per atom. The value obtained for the size of the total moment is 0.00 μB/f.u.

The structure in CIF format:
```
data_LuGe2Ir
_cell_length_a 6.5971
_cell_length_b 6.5971
_cell_length_c 6.5971
_cell_angle_alpha 90.00
_cell_angle_beta 90.00
_cell_angle_gamma 90.00
_space_group_name_H-M_alt 'F -4 3 m'
_space_group_IT_number 216
_space_group_name_Hall 'F -4 2 3'
loop_
_atom_site_label
_atom_site_type_symbol
_atom_site_fract_x
_atom_site_fract_y
_atom_site_fract_z
Lu1 Lu 0.0000 0.0000 0.0000
Ge1 Ge 0.0000 0.0000 0.5000
Ge2 Ge 0.2500 0.2500 0.2500
Ir1 Ir 0.2500 0.2500 0.7500
```